Crystalline NiBrO at its relaxed geometry. Source: Alexandria, functional GGA+U.

Lattice parameters (Å, degrees): 3.4772 3.3660 5.1623 88.52 109.71 121.11
Last column: magnetic moment on the atom in μB.
Fractional coordinates of all 3 atoms:
1 Ni 0.5838 0.5701 0.4288  1.75
2 Br 0.7661 0.3261 0.0386  0.04
3 O 0.3159 0.9149 0.5479  0.10

Values from the calculation:
- V: 47.9 Å³/f.u.
- Spin magnetization: 0.65 μB per atom
- VASP energy: -3.317 eV/atom